Compound: Li4Mn3Cr2Sb3O16
Source: Alexandria via LeMat-Bulk
Functional: PBE with a Hubbard U
Structure: relaxed

As for the total energy: -6.596 eV per atom. Its magnetization is 19.99 μB/f.u. As for the symmetry: No. 8.

Structure (POSCAR):
```
Li4Mn3Cr2Sb3O16
1.0
6.262 0.017 0.012
3.266 5.343 0.012
0.465 0.262 9.743
Li Sb O Mn Cr
4 3 16 3 2
Cartesian
6.361 3.578 1.141
9.369 5.270 0.191
3.306 1.860 5.811
9.744 5.481 4.859
5.166 4.639 7.661
1.799 1.012 2.770
6.647 2.007 7.661
5.241 1.187 8.806
8.207 4.617 3.991
6.568 5.291 6.419
3.736 3.862 8.806
1.860 1.046 8.710
5.112 4.672 3.930
7.932 2.866 6.419
4.633 2.606 1.525
3.294 1.853 3.856
0.388 0.218 6.648
3.168 0.270 1.462
1.876 2.568 1.462
0.200 0.113 1.930
6.625 3.727 8.765
6.647 1.943 3.930
5.230 2.942 6.473
4.869 1.028 2.845
3.407 3.627 2.845
8.265 4.649 7.680
3.341 1.879 0.257
6.691 3.764 4.945
```